The following is a PBE with a Hubbard U calculation of crystalline CdCoAg2F6 at its relaxed geometry, from the Alexandria database.

Unit cell a=5.805 b=5.944 c=10.126 alpha=90.00 beta=124.67 gamma=90.00
Positions (direct):
1 Cd 0.000 0.000 0.000
2 Cd 0.000 0.500 0.500
3 Co 0.500 0.000 0.500
4 Co 0.500 0.500 0.000
5 Ag 0.266 0.053 0.751
6 Ag 0.266 0.447 0.251
7 Ag 0.734 0.553 0.749
8 Ag 0.734 0.947 0.249
9 F 0.160 0.034 0.263
10 F 0.160 0.466 0.763
11 F 0.270 0.692 0.056
12 F 0.270 0.808 0.556
13 F 0.370 0.213 0.055
14 F 0.370 0.287 0.555
15 F 0.630 0.713 0.445
16 F 0.630 0.787 0.945
17 F 0.730 0.192 0.444
18 F 0.730 0.308 0.944
19 F 0.840 0.534 0.237
20 F 0.840 0.966 0.737

Properties
Total DFT energy (no corrections)   -79.45 eV per cell
Spin magnetization   6.02 μB/cell
Crystal system   monoclinic